(1)
Here is crystalline Ba2YSi3Pt12 at its relaxed geometry from Alexandria. Energies are from PBE.

a b c (Å): 7.9096 7.9096 7.9096
angles (deg): 64.77 64.77 64.77
Atoms (fractional coordinates):
Ba (0.6016, 0.6016, 0.6016)
Ba (0.3984, 0.3984, 0.3984)
Y (0.0000, 0.0000, 0.0000)
Si (0.5000, 0.0000, 0.0000)
Si (0.0000, 0.5000, 0.0000)
Si (0.0000, 0.0000, 0.5000)
Pt (0.3418, 0.3418, 0.9115)
Pt (0.8650, 0.8650, 0.3940)
Pt (0.3940, 0.8650, 0.8650)
Pt (0.9115, 0.3418, 0.3418)
Pt (0.8650, 0.3940, 0.8650)
Pt (0.3418, 0.9115, 0.3418)
Pt (0.6582, 0.6582, 0.0885)
Pt (0.1350, 0.1350, 0.6060)
Pt (0.6060, 0.1350, 0.1350)
Pt (0.0885, 0.6582, 0.6582)
Pt (0.1350, 0.6060, 0.1350)
Pt (0.6582, 0.0885, 0.6582)

Summary:
VASP energy: -0.43550 Ry/atom
energy relative to the elements, uncorrected: -9.720 kcal/mol of atoms
DOS(E_F): 7.6 states/eV per cell

***

(2)
Here is crystalline Ba2ZnSi3Pt12 at its relaxed geometry from Alexandria. Energies are from PBE.

a b c (Å): 7.8720 7.8720 7.8720
angles (deg): 63.84 63.84 63.84
Atoms (fractional coordinates):
Ba (0.6150, 0.6150, 0.6150)
Ba (0.3850, 0.3850, 0.3850)
Zn (0.0000, 0.0000, 0.0000)
Si (0.5000, 0.0000, 0.0000)
Si (0.0000, 0.5000, 0.0000)
Si (0.0000, 0.0000, 0.5000)
Pt (0.3482, 0.3482, 0.9055)
Pt (0.8812, 0.8812, 0.3669)
Pt (0.3669, 0.8812, 0.8812)
Pt (0.9055, 0.3482, 0.3482)
Pt (0.8812, 0.3669, 0.8812)
Pt (0.3482, 0.9055, 0.3482)
Pt (0.6518, 0.6518, 0.0945)
Pt (0.1188, 0.1188, 0.6331)
Pt (0.6331, 0.1188, 0.1188)
Pt (0.0945, 0.6518, 0.6518)
Pt (0.1188, 0.6331, 0.1188)
Pt (0.6518, 0.0945, 0.6518)

Summary:
VASP energy: -0.41226 Ry/atom
energy relative to the elements, uncorrected: -9.078 kcal/mol of atoms
DOS(E_F): 4.6 states/eV per cell

***

(3)
Here is crystalline Ba2ZnSiPt at its relaxed geometry from Alexandria. Energies are from PBE.

a b c (Å): 6.2460 6.2460 4.5939
angles (deg): 90.00 90.00 90.00
Atoms (fractional coordinates):
Zn (0.5000, 0.5000, 0.5000)
Si (0.0000, 0.0000, 0.5000)
Ba (0.0000, 0.5000, 0.0000)
Ba (0.5000, 0.0000, 0.0000)
Pt (0.0000, 0.0000, 0.0000)

Summary:
VASP energy: -0.27213 Ry/atom
energy relative to the elements, uncorrected: -8.898 kcal/mol of atoms
DOS(E_F): 3.8 states/eV per cell

***

(4)
Here is crystalline BaZnSiPt at its relaxed geometry from Alexandria. Energies are from PBE.

a b c (Å): 4.7360 4.3725 5.7997
angles (deg): 112.15 114.10 90.00
Atoms (fractional coordinates):
Ba (0.9604, 0.9604, 0.9208)
Zn (0.6002, 0.6002, 0.2005)
Si (0.2273, 0.7273, 0.4547)
Pt (0.3274, 0.3274, 0.6548)

Summary:
VASP energy: -0.30606 Ry/atom
energy relative to the elements, uncorrected: -11.508 kcal/mol of atoms
DOS(E_F): 1.3 states/eV per cell

***

(5)
Here is crystalline Ba2ZnSi3Pt4 at its relaxed geometry from Alexandria. Energies are from PBE.

a b c (Å): 4.4663 4.4663 10.1481
angles (deg): 90.00 90.00 90.00
Atoms (fractional coordinates):
Ba (0.5000, 0.0000, 0.2543)
Ba (0.0000, 0.5000, 0.7457)
Zn (0.5000, 0.5000, 0.5000)
Si (0.0000, 0.0000, 0.5000)
Si (0.5000, 0.0000, 0.8832)
Si (0.0000, 0.5000, 0.1168)
Pt (0.5000, 0.5000, 0.0000)
Pt (0.0000, 0.0000, 0.0000)
Pt (0.5000, 0.0000, 0.6293)
Pt (0.0000, 0.5000, 0.3707)

Summary:
VASP energy: -0.39187 Ry/atom
energy relative to the elements, uncorrected: -17.906 kcal/mol of atoms
DOS(E_F): 6.2 states/eV per cell

***

(6)
Here is crystalline BaSm2Pt9 at its relaxed geometry from Alexandria. Energies are from PBE.

a b c (Å): 5.5487 5.5487 9.4041
angles (deg): 72.84 72.84 60.00
Atoms (fractional coordinates):
Ba (0.0000, 0.0000, 0.0000)
Sm (0.8599, 0.8599, 0.4204)
Sm (0.1401, 0.1401, 0.5796)
Pt (0.6681, 0.6681, 0.9956)
Pt (0.3319, 0.3319, 0.0044)
Pt (0.5000, 0.5000, 0.5000)
Pt (0.4119, 0.4119, 0.2577)
Pt (0.9185, 0.4119, 0.2577)
Pt (0.4119, 0.9185, 0.2577)
Pt (0.5881, 0.5881, 0.7423)
Pt (0.5881, 0.0815, 0.7423)
Pt (0.0815, 0.5881, 0.7423)

Summary:
VASP energy: -0.46354 Ry/atom
DOS(E_F): 7.9 states/eV per cell

***

(7)
Here is crystalline BaSmPt at its relaxed geometry from Alexandria. Energies are from PBE.

a b c (Å): 7.0459 4.3782 4.3782
angles (deg): 120.00 90.00 90.00
Atoms (fractional coordinates):
Sm (0.2147, 0.3333, 0.6667)
Pt (0.0308, 0.0000, 0.0000)
Ba (0.7545, 0.6667, 0.3333)

Summary:
VASP energy: -0.35710 Ry/atom
DOS(E_F): 2.7 states/eV per cell
offset from the most stable computed form: 0 meV per atom

***

(8)
Here is crystalline BaSmPt at its relaxed geometry from Alexandria. Energies are from PBE.

a b c (Å): 3.7635 3.7635 7.4783
angles (deg): 104.57 104.57 90.00
Atoms (fractional coordinates):
Sm (0.2816, 0.2816, 0.5632)
Pt (0.6888, 0.6888, 0.3775)
Ba (0.0296, 0.0296, 0.0593)

Summary:
VASP energy: -0.35629 Ry/atom
DOS(E_F): 2.7 states/eV per cell
offset from the most stable computed form: 11 meV per atom

***

(9)
Here is crystalline BaSm3Pt at its relaxed geometry from Alexandria. Energies are from PBE.

a b c (Å): 5.7283 5.7283 5.7283
angles (deg): 90.00 90.00 90.00
Atoms (fractional coordinates):
Sm (0.0000, 0.5000, 0.0000)
Sm (0.0000, 0.0000, 0.5000)
Sm (0.5000, 0.0000, 0.0000)
Pt (0.0000, 0.0000, 0.0000)
Ba (0.5000, 0.5000, 0.5000)

Summary:
VASP energy: -0.35029 Ry/atom
DOS(E_F): 9.7 states/eV per cell

***

(10)
Here is crystalline BaSmPt10 at its relaxed geometry from Alexandria. Energies are from PBE.

a b c (Å): 4.4048 5.5203 9.5204
angles (deg): 90.00 90.00 90.00
Atoms (fractional coordinates):
Ba (0.0000, 0.0000, 0.0000)
Sm (0.0000, 0.5000, 0.5000)
Pt (0.0000, 0.0000, 0.3401)
Pt (0.0000, 0.5000, 0.8238)
Pt (0.0000, 0.5000, 0.1762)
Pt (0.0000, 0.0000, 0.6599)
Pt (0.5000, 0.0000, 0.5000)
Pt (0.5000, 0.5000, 0.0000)
Pt (0.5000, 0.2540, 0.2580)
Pt (0.5000, 0.7460, 0.7420)
Pt (0.5000, 0.7460, 0.2580)
Pt (0.5000, 0.2540, 0.7420)

Summary:
VASP energy: -0.45516 Ry/atom
DOS(E_F): 7.4 states/eV per cell

***

(11)
Here is crystalline BaSn2Pt at its relaxed geometry from Alexandria. Energies are from PBE.

a b c (Å): 6.6533 7.6925 17.3337
angles (deg): 90.00 90.00 90.00
Atoms (fractional coordinates):
Ba (0.5006, 0.2500, 0.1410)
Ba (0.0006, 0.7500, 0.3590)
Ba (0.4994, 0.7500, 0.8590)
Ba (0.9994, 0.2500, 0.6410)
Ba (0.7918, 0.2500, 0.3948)
Ba (0.2918, 0.7500, 0.1052)
Ba (0.2082, 0.7500, 0.6052)
Ba (0.7082, 0.2500, 0.8948)
Sn (0.0038, 0.0556, 0.2126)
Sn (0.5038, 0.9444, 0.2874)
Sn (0.9962, 0.5556, 0.7874)
Sn (0.4962, 0.4444, 0.7126)
Sn (0.9962, 0.9444, 0.7874)
Sn (0.4962, 0.0556, 0.7126)
Sn (0.0038, 0.4444, 0.2126)
Sn (0.5038, 0.5556, 0.2874)
Sn (0.7919, 0.5495, 0.0403)
Sn (0.2919, 0.4505, 0.4597)
Sn (0.2081, 0.0495, 0.9597)
Sn (0.7081, 0.9505, 0.5403)
Sn (0.2081, 0.4505, 0.9597)
Sn (0.7081, 0.5495, 0.5403)
Sn (0.7919, 0.9505, 0.0403)
Sn (0.2919, 0.0495, 0.4597)
Pt (0.2737, 0.2500, 0.3280)
Pt (0.7737, 0.7500, 0.1720)
Pt (0.7263, 0.7500, 0.6720)
Pt (0.2263, 0.2500, 0.8280)
Pt (0.0225, 0.2500, 0.0750)
Pt (0.5225, 0.7500, 0.4250)
Pt (0.9775, 0.7500, 0.9250)
Pt (0.4775, 0.2500, 0.5750)

Summary:
VASP energy: -0.34360 Ry/atom
DOS(E_F): 14.9 states/eV per cell

***

(12)
Here is crystalline Ba2Sn3Pt at its relaxed geometry from Alexandria. Energies are from PBE.

a b c (Å): 5.0951 4.7709 8.3277
angles (deg): 90.00 90.00 90.00
Atoms (fractional coordinates):
Ba (0.0000, 0.5000, 0.0181)
Ba (0.0000, 0.0000, 0.4913)
Sn (0.5000, 0.0000, 0.8395)
Sn (0.5000, 0.0000, 0.1871)
Sn (0.5000, 0.5000, 0.6412)
Pt (0.5000, 0.5000, 0.3227)

Summary:
VASP energy: -0.31892 Ry/atom
DOS(E_F): 4.0 states/eV per cell
offset from the most stable computed form: 0 meV per atom

***

(13)
Here is crystalline Ba2SnPt at its relaxed geometry from Alexandria. Energies are from PBE.

a b c (Å): 3.8462 3.8462 9.0261
angles (deg): 90.00 90.00 90.00
Atoms (fractional coordinates):
Ba (0.0000, 0.0000, 0.7862)
Ba (0.0000, 0.0000, 0.2138)
Pt (0.5000, 0.5000, 0.0000)
Sn (0.5000, 0.5000, 0.5000)

Summary:
VASP energy: -0.29899 Ry/atom
DOS(E_F): 2.1 states/eV per cell

***

(14)
Here is crystalline Ba2SnPt at its relaxed geometry from Alexandria. Energies are from PBE.

a b c (Å): 4.9825 6.1857 10.3137
angles (deg): 115.10 90.00 90.00
Atoms (fractional coordinates):
Ba (0.7500, 0.1866, 0.4129)
Ba (0.2500, 0.8134, 0.5871)
Ba (0.2500, 0.7718, 0.0559)
Ba (0.7500, 0.2282, 0.9441)
Sn (0.2500, 0.4123, 0.2340)
Sn (0.7500, 0.5877, 0.7660)
Pt (0.7500, 0.6089, 0.2774)
Pt (0.2500, 0.3911, 0.7226)

Summary:
VASP energy: -0.30644 Ry/atom
DOS(E_F): 1.9 states/eV per cell

***

(15)
Here is crystalline Ba6Sn2Pt at its relaxed geometry from Alexandria. Energies are from PBE.

a b c (Å): 8.0872 8.9121 11.6626
angles (deg): 90.00 89.99 90.00
Atoms (fractional coordinates):
Ba (0.8898, 0.9689, 0.2462)
Ba (0.8206, 0.6905, 0.5586)
Ba (0.8170, 0.6797, 0.9445)
Ba (0.6830, 0.1797, 0.5555)
Ba (0.6794, 0.1905, 0.9415)
Ba (0.6102, 0.4689, 0.2537)
Ba (0.1102, 0.0311, 0.7538)
Ba (0.1794, 0.3095, 0.4414)
Ba (0.1830, 0.3203, 0.0555)
Ba (0.3170, 0.8203, 0.4445)
Ba (0.3206, 0.8095, 0.0585)
Ba (0.3898, 0.5311, 0.7463)
Sn (0.9705, 0.4078, 0.7486)
Sn (0.5295, 0.9078, 0.7515)
Sn (0.4705, 0.0922, 0.2485)
Sn (0.0295, 0.5922, 0.2514)
Pt (0.5000, 0.5000, 0.0000)
Pt (0.0000, 0.0000, 0.5000)

Summary:
VASP energy: -0.24942 Ry/atom
DOS(E_F): 9.8 states/eV per cell

***

(16)
Here is crystalline Ba2Sn6Pt at its relaxed geometry from Alexandria. Energies are from PBE.

a b c (Å): 6.1499 7.0519 7.0519
angles (deg): 60.00 89.99 89.99
Atoms (fractional coordinates):
Ba (0.8296, 0.6673, 0.6673)
Ba (0.1704, 0.3327, 0.3327)
Sn (0.3125, 0.3294, 0.8339)
Sn (0.3108, 0.8343, 0.8343)
Sn (0.3125, 0.8339, 0.3294)
Sn (0.6875, 0.6706, 0.1661)
Sn (0.6892, 0.1657, 0.1657)
Sn (0.6875, 0.1661, 0.6706)
Pt (0.0000, 0.0000, 0.0000)

Summary:
VASP energy: -0.31735 Ry/atom
DOS(E_F): 4.4 states/eV per cell

***

(17)
Here is crystalline BaSn3Pt5 at its relaxed geometry from Alexandria. Energies are from PBE.

a b c (Å): 4.2449 7.2383 13.6582
angles (deg): 90.00 90.00 107.05
Atoms (fractional coordinates):
Ba (0.8274, 0.6548, 0.7500)
Ba (0.1726, 0.3452, 0.2500)
Sn (0.3718, 0.7436, 0.9673)
Sn (0.9047, 0.8094, 0.2500)
Sn (0.3718, 0.7436, 0.5327)
Sn (0.6282, 0.2564, 0.4673)
Sn (0.0953, 0.1906, 0.7500)
Sn (0.6282, 0.2564, 0.0327)
Pt (0.8106, 0.6211, 0.4206)
Pt (0.1894, 0.3789, 0.9206)
Pt (0.0000, 0.0000, 0.5000)
Pt (0.0000, 0.0000, 0.0000)
Pt (0.4686, 0.9371, 0.1456)
Pt (0.5314, 0.0629, 0.8544)
Pt (0.5314, 0.0629, 0.6456)
Pt (0.8106, 0.6211, 0.0794)
Pt (0.1894, 0.3789, 0.5794)
Pt (0.4686, 0.9371, 0.3544)

Summary:
VASP energy: -0.40471 Ry/atom
DOS(E_F): 7.7 states/eV per cell

***

(18)
Here is crystalline Ba2SnPt at its relaxed geometry from Alexandria. Energies are from PBE.

a b c (Å): 9.1351 9.1351 7.3115
angles (deg): 51.34 51.34 90.00
Atoms (fractional coordinates):
Ba (0.6802, 0.1250, 0.2500)
Ba (0.0698, 0.6250, 0.2500)
Ba (0.3750, 0.3198, 0.7500)
Ba (0.8750, 0.9302, 0.7500)
Pt (0.0000, 0.0000, 0.0000)
Pt (0.7500, 0.2500, 0.5000)
Sn (0.5000, 0.5000, 0.0000)
Sn (0.2500, 0.7500, 0.5000)

Summary:
VASP energy: -0.28109 Ry/atom
DOS(E_F): 5.0 states/eV per cell

***

(19)
Here is crystalline BaSn2Pt at its relaxed geometry from Alexandria. Energies are from PBE.

a b c (Å): 4.7522 8.0731 12.1008
angles (deg): 90.00 90.00 90.00
Atoms (fractional coordinates):
Ba (0.7500, 0.6690, 0.6309)
Ba (0.2500, 0.8310, 0.1309)
Ba (0.2500, 0.3310, 0.3691)
Ba (0.7500, 0.1690, 0.8691)
Sn (0.7500, 0.1344, 0.5641)
Sn (0.2500, 0.3656, 0.0641)
Sn (0.2500, 0.8656, 0.4359)
Sn (0.7500, 0.6344, 0.9359)
Sn (0.7500, 0.6610, 0.3342)
Sn (0.2500, 0.8390, 0.8342)
Sn (0.2500, 0.3390, 0.6658)
Sn (0.7500, 0.1610, 0.1658)
Pt (0.7500, 0.0012, 0.3583)
Pt (0.2500, 0.4988, 0.8583)
Pt (0.2500, 0.9988, 0.6417)
Pt (0.7500, 0.5012, 0.1417)

Summary:
VASP energy: -0.34632 Ry/atom
DOS(E_F): 8.2 states/eV per cell

***

(20)
Here is crystalline Ba3Sn2Pt at its relaxed geometry from Alexandria. Energies are from PBE.

a b c (Å): 7.5309 7.5309 8.6348
angles (deg): 78.00 78.00 85.55
Atoms (fractional coordinates):
Ba (0.3952, 0.6048, 0.2500)
Ba (0.6048, 0.3952, 0.7500)
Ba (0.0990, 0.2422, 0.0280)
Ba (0.7578, 0.9010, 0.4720)
Ba (0.9010, 0.7578, 0.9720)
Ba (0.2422, 0.0990, 0.5280)
Sn (0.9342, 0.4819, 0.3501)
Sn (0.5181, 0.0658, 0.1499)
Sn (0.4819, 0.9342, 0.8501)
Sn (0.0658, 0.5181, 0.6499)
Pt (0.7099, 0.2901, 0.2500)
Pt (0.2901, 0.7099, 0.7500)

Summary:
VASP energy: -0.28741 Ry/atom
DOS(E_F): 4.9 states/eV per cell